A plane-wave DFT calculation with PBE+U was carried out for a relaxed PmVCoO5 crystal.

```
16
Lattice="6.185 -0.709 -0.205 -2.483 5.708 -0.205 -1.859 -2.512 7.888" Properties=species:S:1:pos:R:3 pbc="T T T"
Co 2.601 -0.972 5.711
O 0.973 -1.949 5.320
V 3.310 0.447 1.767
Co -0.759 3.460 1.767
O -0.929 1.039 4.443
Pm -0.930 -1.256 3.944
Pm 0.000 0.000 0.000
O 0.869 4.436 2.158
V -1.469 2.041 5.711
O 2.771 1.448 3.036
O -1.218 1.617 1.376
O 3.060 0.870 6.102
O -2.214 4.537 1.767
O -0.353 1.817 6.980
O 4.056 -2.049 5.711
O 2.195 0.671 0.499
```

Results
total energy: -58.80 eV per formula unit
crystal system: monoclinic
volume: 16.105 Å³/atom